1.
Entry from Alexandria via LeMat-Bulk: crystalline Mn2BeAu at its relaxed geometry (PBE).

Values from the calculation:
The formation energy comes out at -0.01 eV per atom.

Cell: 2.8056 2.8056 6.3870 Å, 90.00 90.00 90.00°
Last column: nearest neighbours and their distance in Å.
Space group P4mm (No. 99)
Symmetry-distinct sites (fractional):
Mn: 0.0000 0.0000 0.0000  4 Be 2.38, 4 Mn 2.45
Mn: 0.5000 0.5000 0.2259  4 Mn 2.45
Be: 0.5000 0.5000 0.7948  4 Mn 2.38, 4 Au 2.53
Au: 0.0000 0.0000 0.5496  4 Be 2.53, 4 Au 2.81

***

2.
Entry from Alexandria via LeMat-Bulk: crystalline Mn2BeAu at its relaxed geometry (PBE).

Values from the calculation:
The formation energy comes out at 0.47 eV per atom.

Cell: 3.3806 3.3806 17.9793 Å, 90.00 90.00 90.00°
Last column: nearest neighbours and their distance in Å.
Space group I-42d (No. 122)
Symmetry-distinct sites (fractional):
Mn: 0.1852 0.2500 0.1250  2 Mn 2.10
Be: 0.0000 0.0000 0.0000  4 Au 2.39, 4 Mn 2.48
Au: 0.0000 0.0000 0.5000  4 Be 2.39, 4 Mn 2.63

***

3.
Entry from Alexandria via LeMat-Bulk: crystalline Mn2BeAu at its relaxed geometry (PBE).

Values from the calculation:
The formation energy comes out at 0.12 eV per atom.

Cell: 3.7706 3.7706 3.8455 Å, 90.00 90.00 90.00°
Last column: nearest neighbours and their distance in Å.
Space group P4/mmm (No. 123)
Symmetry-distinct sites (fractional):
Mn: 0.0000 0.5000 0.0000  4 Mn 2.67, 4 Be 2.69, 4 Au 2.69
Be: 0.0000 0.0000 0.5000  4 Au 2.67, 8 Mn 2.69
Au: 0.5000 0.5000 0.5000  4 Be 2.67, 8 Mn 2.69

***

no.,total magnetization (μB/f.u.)
1,1.52
2,0.56
3,6.80